[1]
Below is a geometry-optimized AcZn4Cd structure, with properties calculated at the PBE-GGA level.

The space group is F-43m (No. 216) and the conventional cell measures 7.994, 7.994 and 7.994 Å, with angles of 90.00, 90.00 and 90.00 degrees. The distinct sites, in fractional coordinates, are Ac at (0.000, 0.000, 0.000), Zn at (0.124, 0.124, 0.376) and Cd at (0.250, 0.250, 0.750).

The calculation puts the total magnetic moment at 0.0 μB per cell. As for the uncorrected energy: -43.19 eV for the cell shown.


[2]
Below is a geometry-optimized NbCuPCl2 structure, with properties calculated at the PBE-GGA level.

The space group is P4/mmm (No. 123) and the conventional cell measures 4.388, 4.388 and 5.169 Å, with angles of 90.00, 90.00 and 90.00 degrees. The distinct sites, in fractional coordinates, are Nb at (0.000, 0.000, 0.000), Cu at (0.500, 0.500, 0.500), P at (0.500, 0.500, 0.000) and Cl at (0.000, 0.500, 0.500).

The calculation puts the total magnetic moment at 1.9 μB per cell. The value obtained for the raw formation energy is 0.55 eV/atom.


[3]
Below is a geometry-optimized Li2DyHo2Ge2 structure, with properties calculated at the PBE-GGA level.

The space group is R-3m (No. 166, hexagonal axes) and the conventional cell measures 4.4344, 4.4344 and 26.8573 Å, with angles of 90.00, 90.00 and 120.00 degrees. The distinct sites, in fractional coordinates, are Li at (0.0000, 0.0000, 0.1020), Dy at (0.0000, 0.0000, 0.5000), Ho at (0.0000, 0.0000, 0.3739) and Ge at (0.0000, 0.0000, 0.2351).

The calculation puts the total magnetic moment at 0.0 μB per cell. As for the uncorrected energy: -90.42 eV for the cell shown.


[4]
Below is a geometry-optimized Y2HgCl structure, with properties calculated at the PBE-GGA level.

The space group is Pmmm (No. 47) and the conventional cell measures 3.607, 4.863 and 6.301 Å, with angles of 90.00, 90.00 and 90.00 degrees. The distinct sites, in fractional coordinates, are Y at (0.000, 0.000, 0.000), Y at (0.500, 0.000, 0.500), Hg at (0.000, 0.500, 0.500) and Cl at (0.500, 0.500, 0.000).

The calculation puts the total magnetic moment at 0.0 μB per cell. The value obtained for the raw formation energy is -0.55 eV/atom.


[5]
Below is a geometry-optimized Ba3BeBi structure, with properties calculated at the PBE-GGA level.

The space group is Pm-3m (No. 221) and the conventional cell measures 6.021, 6.021 and 6.021 Å, with angles of 90.00, 90.00 and 90.00 degrees. The distinct sites, in fractional coordinates, are Ba at (0.000, 0.000, 0.500), Be at (0.000, 0.000, 0.000) and Bi at (0.500, 0.500, 0.500).

The calculation puts the total magnetic moment at 0.0 μB per cell. As for the uncorrected energy: -13.44 eV for the cell shown.


[6]
Below is a geometry-optimized BeAs2Pt structure, with properties calculated at the PBE-GGA level.

The space group is Amm2 (No. 38) and the conventional cell measures 4.265, 4.431 and 7.412 Å, with angles of 90.00, 90.00 and 90.00 degrees. The distinct sites, in fractional coordinates, are Be at (0.000, 0.000, 0.000), As at (0.000, 0.000, 0.346), As at (0.500, 0.000, 0.815) and Pt at (0.500, 0.000, 0.153).

The calculation puts the total magnetic moment at 0.0 μB per cell. As for the uncorrected energy: -39.53 eV for the cell shown.